A geometry-optimized DyTm2Hf structure. Source: Alexandria via LeMat-Bulk, functional PBE.

Properties
Polymorph energy (0 for the lowest one): 260 meV/atom
M_tot: 0.00 μB/atom
Energy relative to the elements: 1.41 eV per formula unit
Raw total energy: -5.52 eV per atom
N(E_F): 6.952 states/eV/f.u.

Unit cell a=3.3080 b=3.3080 c=12.0539 alpha=82.11 beta=82.11 gamma=60.00
Atoms (fractional coordinates):
Hf  0.0000  0.0000  0.0000
Tm  0.0869  0.0869  0.7394
Tm  0.9131  0.9131  0.2606
Dy  0.5000  0.5000  0.5000


A geometry-optimized K2AgPb structure. Source: Alexandria via LeMat-Bulk, functional PBE.

Properties
M_tot: 0.08 μB/atom
Energy relative to the elements: -0.25 eV per formula unit
Raw total energy: -2.25 eV per atom
N(E_F): 3.360 states/eV/f.u.

Unit cell a=6.5617 b=6.8894 c=6.8894 alpha=108.41 beta=90.00 gamma=90.00
Site moments in Bohr magnetons follow the coordinates.
Atoms (fractional coordinates):
Ag  0.0000  0.5000  0.5000  0.01
K  0.2500  0.6521  0.0026  0.01
Pb  0.2500  0.2098  0.2098  0.09
K  0.7500  0.9974  0.3479  0.01
Pb  0.7500  0.7902  0.7902  0.09
Ag  0.5000  0.5000  0.5000  0.01
K  0.7500  0.3479  0.9974  0.01
K  0.2500  0.0026  0.6521  0.01


A geometry-optimized TbInCoCu structure. Source: Alexandria via LeMat-Bulk, functional PBE.

Properties
M_tot: 0.21 μB/atom
Energy relative to the elements: -0.57 eV per formula unit
Raw total energy: -4.79 eV per atom
N(E_F): 3.099 states/eV/f.u.

Unit cell a=4.6619 b=4.6619 c=4.6619 alpha=60.00 beta=60.00 gamma=60.00
Site moments in Bohr magnetons follow the coordinates.
Atoms (fractional coordinates):
In  0.5000  0.5000  0.5000  0.01
Cu  0.2500  0.2500  0.2500  0.03
Co  0.7500  0.7500  0.7500  0.85
Tb  0.0000  0.0000  0.0000  -0.04


A geometry-optimized RbLiScTe3 structure. Source: Alexandria via LeMat-Bulk, functional PBE.

Properties
M_tot: 0.00 μB/atom
Raw total energy: -4.12 eV per atom
Uncorrected formation energy: -6.08 eV/f.u.
N(E_F): 3.143 states/eV/f.u.

Unit cell a=4.2265 b=9.8419 c=10.7138 alpha=114.72 beta=90.00 gamma=90.00
Atoms (fractional coordinates):
Rb  0.2500  0.2159  0.2567
Te  0.2500  0.1364  0.8768
Rb  0.7500  0.7841  0.7433
Te  0.7500  0.2326  0.5560
Te  0.7500  0.4635  0.1540
Te  0.2500  0.5365  0.8460
Li  0.2500  0.0785  0.6052
Li  0.7500  0.9215  0.3948
Te  0.7500  0.8636  0.1232
Sc  0.7500  0.3284  0.8512
Te  0.2500  0.7674  0.4440
Sc  0.2500  0.6716  0.1488


A geometry-optimized VReRh6 structure. Source: Alexandria via LeMat-Bulk, functional PBE.

Properties
M_tot: 0.00 μB/atom
Energy relative to the elements: 4.16 eV per formula unit
Raw total energy: -7.69 eV per atom
N(E_F): 10.886 states/eV/f.u.

Unit cell a=5.0731 b=5.0731 c=5.0731 alpha=91.49 beta=91.49 gamma=91.49
Atoms (fractional coordinates):
Rh  0.4439  0.8247  0.8247
Re  0.0000  0.0000  0.0000
Rh  0.5561  0.1753  0.1753
Rh  0.1753  0.1753  0.5561
Rh  0.1753  0.5561  0.1753
Rh  0.8247  0.8247  0.4439
V  0.5000  0.5000  0.5000
Rh  0.8247  0.4439  0.8247


A geometry-optimized La3GeN structure. Source: Alexandria via LeMat-Bulk, functional PBE.

Properties
M_tot: 0.05 μB/atom
Raw total energy: -6.24 eV per atom
Uncorrected formation energy: -3.50 eV/f.u.
N(E_F): 4.096 states/eV/f.u.

Unit cell a=4.7104 b=9.3858 c=7.4080 alpha=78.43 beta=90.00 gamma=104.53
Atoms (fractional coordinates):
La  0.7168  0.4336  0.8849
N  0.8316  0.6632  0.0423
La  0.9250  0.8500  0.8051
Ge  0.6668  0.3335  0.3610
La  0.0750  0.1500  0.1949
La  0.1552  0.3104  0.6316
Ge  0.3332  0.6665  0.6390
La  0.2832  0.5664  0.1151
La  0.8448  0.6896  0.3684
N  0.1684  0.3368  0.9577


Question: Which formula does entry 1 have?
Answer: DyTm2Hf